(1)
A plane-wave DFT calculation with PBE-GGA was carried out for an optimized crystal structure of W5C4.

Lattice parameters (Å, degrees): 7.2875 7.2875 7.2875 92.14 92.14 157.69
With the nearest neighbours (Å) after each atom.
Atoms (fractional coordinates):
W 0.0000 0.0000 0.0000  4 C 2.13
W 0.3360 0.3360 0.6719  4 C 2.23
W 0.3360 0.6640 0.0000  4 C 2.23
W 0.6640 0.3360 0.0000  4 C 2.23
W 0.6640 0.6640 0.3281  4 C 2.23
C 0.0000 0.2106 0.2106  5 W 2.13-2.23
C 0.0000 0.7894 0.7894  5 W 2.13-2.23
C 0.2106 0.0000 0.2106  5 W 2.13-2.23
C 0.7894 0.0000 0.7894  5 W 2.13-2.23

Space-group type   I4/mmm, No. 139
Energy of formation   796 kJ/mol of formula units
D(E_F)   0.527 states/eV per atom

(2)
A plane-wave DFT calculation with PBE-GGA was carried out for an optimized crystal structure of CsAcS2.

Lattice parameters (Å, degrees): 8.5244 8.5244 8.5244 30.55 30.55 30.55
With the nearest neighbours (Å) after each atom.
Atoms (fractional coordinates):
Cs 0.0000 0.0000 0.0000  6 S 3.60
Ac 0.5000 0.5000 0.5000  6 S 3.02
S 0.2306 0.2306 0.2306  3 Ac 3.02
S 0.7694 0.7694 0.7694  3 Ac 3.02

Space-group type   R-3m, No. 166
Uncorrected formation energy   -1.873 eV/atom
D(E_F)   0.000 states/eV per atom

(3)
A plane-wave DFT calculation with PBE-GGA was carried out for an optimized crystal structure of Bi4Pd3.

Lattice parameters (Å, degrees): 7.0568 7.0568 5.9335 106.16 106.16 36.84
With the nearest neighbours (Å) after each atom.
Atoms (fractional coordinates):
Bi 0.0728 0.0728 0.3121  5 Pd 2.88-2.99
Bi 0.3283 0.3283 0.1887  5 Pd 2.84-3.15
Bi 0.6717 0.6717 0.8113  5 Pd 2.84-3.15
Bi 0.9272 0.9272 0.6879  5 Pd 2.88-2.99
Pd 0.2764 0.2764 0.6740  7 Bi 2.88-3.15, 3 Pd 2.98-3.05
Pd 0.5000 0.5000 0.0000  6 Bi 2.84-2.88, 2 Pd 3.05
Pd 0.7236 0.7236 0.3260  7 Bi 2.88-3.15, 3 Pd 2.98-3.05

Space-group type   C2/m, No. 12
Energy of formation   -189 kJ/mol of formula units
D(E_F)   0.460 states/eV per atom

(4)
A plane-wave DFT calculation with PBE-GGA was carried out for an optimized crystal structure of NpGaIr3.

Lattice parameters (Å, degrees): 6.3463 6.3463 6.3463 128.92 107.58 94.00
With the nearest neighbours (Å) after each atom.
Atoms (fractional coordinates):
Np 0.2675 0.0175 0.2500  5 Ir 2.67-2.83
Np 0.7325 0.9825 0.7500  5 Ir 2.67-2.83
Ga 0.0000 0.5000 0.5000  6 Ir 2.60
Ga 0.5000 0.5000 0.0000  6 Ir 2.60
Ir 0.0412 0.2912 0.7500  2 Ga 2.60, 1 Np 2.67, 6 Ir 2.70-2.83
Ir 0.3070 0.0000 0.8070  2 Ga 2.60, 5 Ir 2.70-2.89, 2 Np 2.83
Ir 0.3070 0.5000 0.3070  2 Ga 2.60, 5 Ir 2.70-2.89, 2 Np 2.83
Ir 0.6930 0.0000 0.1930  2 Ga 2.60, 5 Ir 2.70-2.89, 2 Np 2.83
Ir 0.6930 0.5000 0.6930  2 Ga 2.60, 5 Ir 2.70-2.89, 2 Np 2.83
Ir 0.9588 0.7088 0.2500  2 Ga 2.60, 1 Np 2.67, 6 Ir 2.70-2.83

Space-group type   Imma, No. 74
Energy of formation   -133 kJ/mol of formula units
D(E_F)   1.648 states/eV per atom

(5)
A plane-wave DFT calculation with PBE-GGA was carried out for an optimized crystal structure of CuSi.

Lattice parameters (Å, degrees): 5.7261 5.7261 5.7261 154.70 136.21 51.25
With the nearest neighbours (Å) after each atom.
Atoms (fractional coordinates):
Cu 0.3888 0.1388 0.2500  4 Cu 2.51-2.62, 6 Si 2.53-2.67
Cu 0.6112 0.8612 0.7500  4 Cu 2.51-2.62, 6 Si 2.53-2.67
Si 0.1607 0.4107 0.7500  2 Si 2.51, 6 Cu 2.53-2.67
Si 0.8393 0.5893 0.2500  2 Si 2.51, 6 Cu 2.53-2.67

Space-group type   Imma, No. 74
Uncorrected formation energy   0.210 eV/atom
D(E_F)   0.384 states/eV per atom

(6)
A plane-wave DFT calculation with PBE-GGA was carried out for an optimized crystal structure of CdPtCl2.

Lattice parameters (Å, degrees): 3.9518 3.9518 9.5382 90.00 90.00 128.72
With the nearest neighbours (Å) after each atom.
Atoms (fractional coordinates):
Cd 0.0000 0.0000 0.0000  2 Cd 3.42, 4 Cl 3.61
Pt 0.0000 0.0000 0.5000  4 Cl 2.33
Cl 0.5000 0.5000 0.3335  2 Pt 2.33
Cl 0.5000 0.5000 0.6665  2 Pt 2.33

Space-group type   Cmmm, No. 65
Uncorrected formation energy   -0.113 eV/atom
D(E_F)   0.242 states/eV per atom